Material: Cs2ZnAs2O6
Method: DFT, PBE-GGA
State: optimized geometry

a = 5.5992 Å, b = 7.2144 Å, c = 6.4146 Å
α = 108.58°, β = 90.00°, γ = 112.83°
Fractional coordinates of all 11 atoms:
As 0.9808 0.9617 0.7931
Cs 0.7171 0.4342 0.1911
O 0.7011 0.9093 0.2535
Zn 0.5000 0.0000 0.5000
O 0.2082 0.9093 0.2535
Cs 0.2829 0.5658 0.8089
As 0.0192 0.0383 0.2069
O 0.1546 0.3093 0.3298
O 0.8454 0.6907 0.6702
O 0.2989 0.0907 0.7465
O 0.7918 0.0907 0.7465

For the raw total energy, the calculation gives -5.228 eV/atom. The value obtained for the density of states at the Fermi level is 0.00 states/eV per atom. The space group is C2/m, No. 12.


Material: PmAlNi2
Method: DFT, PBE-GGA
State: optimized geometry

a = 4.5453 Å, b = 4.5453 Å, c = 4.5453 Å
α = 60.00°, β = 60.00°, γ = 60.00°
Fractional coordinates of all 4 atoms:
Ni 0.7500 0.7500 0.7500
Pm 0.0000 0.0000 0.0000
Ni 0.2500 0.2500 0.2500
Al 0.5000 0.5000 0.5000

For the raw total energy, the calculation gives -5.357 eV/atom. The value obtained for the density of states at the Fermi level is 0.73 states/eV per atom. The calculation puts the formation energy at -0.343 eV per atom. The space group is Fm-3m, No. 225.


Material: PrTlCdGa
Method: DFT, PBE-GGA
State: optimized geometry

a = 5.2409 Å, b = 5.2409 Å, c = 5.2409 Å
α = 60.00°, β = 60.00°, γ = 60.00°
Fractional coordinates of all 4 atoms:
Pr 0.2500 0.2500 0.2500
Ga 0.0000 0.0000 0.0000
Cd 0.7500 0.7500 0.7500
Tl 0.5000 0.5000 0.5000

For the raw total energy, the calculation gives -2.991 eV/atom. The value obtained for the density of states at the Fermi level is 0.62 states/eV per atom. The calculation puts the formation energy at -0.219 eV per atom. The space group is F-43m, No. 216.


Which of these has the highest raw total energy? PrTlCdGa